The following is a DFT calculation (PBE) of crystalline Nd2AlAu at its relaxed geometry.

Output
total magnetic moment = 0.122 μB per atom
energy of formation from the pure elements = -11.07 kcal/mol of atoms
volume = 422 Å³ per cell
calculated density = 8.07 Mg/m³

Geometry as CIF:
```
data_Nd2AlAu
_cell_length_a 7.499
_cell_length_b 7.499
_cell_length_c 7.499
_cell_angle_alpha 90.00
_cell_angle_beta 90.00
_cell_angle_gamma 90.00
_space_group_name_H-M_alt 'F m -3 m'
_space_group_IT_number 225
_space_group_name_Hall '-F 4 2 3'
loop_
_atom_site_label
_atom_site_type_symbol
_atom_site_fract_x
_atom_site_fract_y
_atom_site_fract_z
_atom_site_occupancy
Nd1 Nd 0.250 0.250 0.250 1
Al1 Al 0.000 0.000 0.000 1
Au1 Au 0.000 0.000 0.500 1
```

=====

The following is a DFT calculation (PBE) of crystalline NdAl7Au3 at its relaxed geometry.

Output
total magnetic moment = 0.000 μB per atom
energy of formation from the pure elements = -12.05 kcal/mol of atoms
volume = 1224 Å³ per cell
calculated density = 7.52 Mg/m³

Geometry as CIF:
```
data_NdAl7Au3
_cell_length_a 8.1564
_cell_length_b 8.1564
_cell_length_c 21.2436
_cell_angle_alpha 90.00
_cell_angle_beta 90.00
_cell_angle_gamma 120.00
_space_group_name_H-M_alt 'R -3 c'
_space_group_IT_number 167
_space_group_name_Hall '-R 3 2"c'
loop_
_atom_site_label
_atom_site_type_symbol
_atom_site_fract_x
_atom_site_fract_y
_atom_site_fract_z
_atom_site_occupancy
Nd1 Nd 0.0000 0.0000 0.0000 1
Al1 Al 0.0000 0.0000 0.2500 1
Al2 Al 0.0107 0.2059 0.1366 1
Au1 Au 0.0000 0.3210 0.2500 1
```

=====

The following is a DFT calculation (PBE) of crystalline NdAl5Au7 at its relaxed geometry.

Output
total magnetic moment = 0.000 μB per atom
energy of formation from the pure elements = -11.22 kcal/mol of atoms
volume = 472 Å³ per cell
calculated density = 11.67 Mg/m³

Geometry as CIF:
```
data_NdAl5Au7
_cell_length_a 5.553
_cell_length_b 9.354
_cell_length_c 9.081
_cell_angle_alpha 90.00
_cell_angle_beta 90.00
_cell_angle_gamma 90.00
_space_group_name_H-M_alt 'I m m 2'
_space_group_IT_number 44
loop_
_space_group_symop_operation_xyz
'x,y,z'
'-x,-y,z'
'-x,y,z'
'x,-y,z'
'x+1/2,y+1/2,z+1/2'
'-x+1/2,-y+1/2,z+1/2'
'-x+1/2,y+1/2,z+1/2'
'x+1/2,-y+1/2,z+1/2'
loop_
_atom_site_label
_atom_site_type_symbol
_atom_site_fract_x
_atom_site_fract_y
_atom_site_fract_z
_atom_site_occupancy
Nd1 Nd 0.000 0.000 0.000 1
Al1 Al 0.000 0.500 0.258 1
Al2 Al 0.244 0.257 0.744 1
Au1 Au 0.000 0.000 0.335 1
Au2 Au 0.000 0.000 0.676 1
Au3 Au 0.000 0.305 0.479 1
Au4 Au 0.000 0.338 0.012 1
Au5 Au 0.000 0.500 0.727 1
```

=====

The following is a DFT calculation (PBE) of crystalline NdAlAu2 at its relaxed geometry.

Output
total magnetic moment = 0.000 μB per atom
energy of formation from the pure elements = -16.61 kcal/mol of atoms
volume = 340 Å³ per cell
calculated density = 11.05 Mg/m³

Geometry as CIF:
```
data_NdAlAu2
_cell_length_a 8.192
_cell_length_b 7.161
_cell_length_c 5.788
_cell_angle_alpha 90.00
_cell_angle_beta 90.00
_cell_angle_gamma 90.00
_space_group_name_H-M_alt 'P n m a'
_space_group_IT_number 62
loop_
_space_group_symop_operation_xyz
'x,y,z'
'-x,-y,-z'
'-x+1/2,-y,z+1/2'
'x+1/2,y,-z+1/2'
'x+1/2,-y+1/2,-z+1/2'
'-x+1/2,y+1/2,z+1/2'
'-x,y+1/2,-z'
'x,-y+1/2,z'
loop_
_atom_site_label
_atom_site_type_symbol
_atom_site_fract_x
_atom_site_fract_y
_atom_site_fract_z
_atom_site_occupancy
Nd1 Nd 0.051 0.250 0.150 1
Al1 Al 0.113 0.750 0.351 1
Au1 Au 0.177 0.049 0.611 1
```

=====

The following is a DFT calculation (PBE) of crystalline NdAlAu at its relaxed geometry.

Output
total magnetic moment = 0.000 μB per atom
energy of formation from the pure elements = -17.11 kcal/mol of atoms
volume = 270 Å³ per cell
calculated density = 9.06 Mg/m³

Geometry as CIF:
```
data_NdAlAu
_cell_length_a 7.516
_cell_length_b 4.595
_cell_length_c 7.816
_cell_angle_alpha 90.00
_cell_angle_beta 90.00
_cell_angle_gamma 90.00
_space_group_name_H-M_alt 'P n m a'
_space_group_IT_number 62
loop_
_space_group_symop_operation_xyz
'x,y,z'
'-x,-y,-z'
'-x+1/2,-y,z+1/2'
'x+1/2,y,-z+1/2'
'x+1/2,-y+1/2,-z+1/2'
'-x+1/2,y+1/2,z+1/2'
'-x,y+1/2,-z'
'x,-y+1/2,z'
loop_
_atom_site_label
_atom_site_type_symbol
_atom_site_fract_x
_atom_site_fract_y
_atom_site_fract_z
_atom_site_occupancy
Nd1 Nd 0.009 0.250 0.194 1
Al1 Al 0.174 0.250 0.581 1
Au1 Au 0.202 0.750 0.408 1
```

=====

The following is a DFT calculation (PBE) of crystalline Nd7Al2Au2 at its relaxed geometry.

Output
total magnetic moment = 0.000 μB per atom
energy of formation from the pure elements = -4.89 kcal/mol of atoms
volume = 687 Å³ per cell
calculated density = 7.05 Mg/m³

Geometry as CIF:
```
data_Nd7Al2Au2
_cell_length_a 8.199
_cell_length_b 11.320
_cell_length_c 7.402
_cell_angle_alpha 90.00
_cell_angle_beta 90.00
_cell_angle_gamma 90.00
_space_group_name_H-M_alt 'C m m m'
_space_group_IT_number 65
_space_group_name_Hall '-C 2 2'
loop_
_atom_site_label
_atom_site_type_symbol
_atom_site_fract_x
_atom_site_fract_y
_atom_site_fract_z
_atom_site_occupancy
Nd1 Nd 0.000 0.000 0.000 1
Nd2 Nd 0.000 0.500 0.265 1
Nd3 Nd 0.250 0.250 0.277 1
Al1 Al 0.161 0.000 0.500 1
Au1 Au 0.000 0.289 0.000 1
```

=====

The following is a DFT calculation (PBE) of crystalline Nd3Al9Au2 at its relaxed geometry.

Output
total magnetic moment = 0.000 μB per atom
energy of formation from the pure elements = -12.28 kcal/mol of atoms
volume = 568 Å³ per cell
calculated density = 6.25 Mg/m³

Geometry as CIF:
```
data_Nd3Al9Au2
_cell_length_a 4.365
_cell_length_b 10.325
_cell_length_c 12.605
_cell_angle_alpha 90.00
_cell_angle_beta 90.00
_cell_angle_gamma 90.00
_space_group_name_H-M_alt 'I m m m'
_space_group_IT_number 71
_space_group_name_Hall '-I 2 2'
loop_
_atom_site_label
_atom_site_type_symbol
_atom_site_fract_x
_atom_site_fract_y
_atom_site_fract_z
_atom_site_occupancy
Nd1 Nd 0.000 0.000 0.000 1
Nd2 Nd 0.000 0.000 0.314 1
Al1 Al 0.000 0.277 0.131 1
Al2 Al 0.000 0.372 0.335 1
Al3 Al 0.000 0.500 0.000 1
Au1 Au 0.000 0.219 0.500 1
```

=====

The following is a DFT calculation (PBE) of crystalline Nd2Al3Au5 at its relaxed geometry.

Output
total magnetic moment = 0.000 μB per atom
energy of formation from the pure elements = -12.90 kcal/mol of atoms
volume = 211 Å³ per cell
calculated density = 10.65 Mg/m³

Geometry as CIF:
```
data_Nd2Al3Au5
_cell_length_a 4.261
_cell_length_b 4.261
_cell_length_c 11.629
_cell_angle_alpha 90.00
_cell_angle_beta 90.00
_cell_angle_gamma 90.00
_space_group_name_H-M_alt 'P -4 m 2'
_space_group_IT_number 115
loop_
_space_group_symop_operation_xyz
'x,y,z'
'y,-x,-z'
'-x,-y,z'
'-y,x,-z'
'-x,y,z'
'-y,-x,-z'
'x,-y,z'
'y,x,-z'
loop_
_atom_site_label
_atom_site_type_symbol
_atom_site_fract_x
_atom_site_fract_y
_atom_site_fract_z
_atom_site_occupancy
Nd1 Nd 0.000 0.500 0.248 1
Al1 Al 0.000 0.000 0.000 1
Al2 Al 0.000 0.500 0.870 1
Au1 Au 0.000 0.000 0.500 1
Au2 Au 0.000 0.500 0.660 1
Au3 Au 0.500 0.500 0.000 1
Au4 Au 0.500 0.500 0.500 1
```